No. 1
Below is a geometry-optimized TbCe4Sm3S8 structure, with properties calculated at the PBE-GGA level. Values from VASP.

Computed properties:
Raw total energy in eV/atom: -6.760
Fermi-level density of states in states/eV/f.u.: 22.32
Formation energy from raw total energies in eV per atom: -2.039

```
&SYSTEM
  ibrav = 0, nat = 16, ntyp = 4
/
ATOMIC_SPECIES
Tb 158.93 Tb.upf
Ce 140.12 Ce.upf
Sm 150.36 Sm.upf
S 32.06 S.upf
CELL_PARAMETERS angstrom
4.003 2.311 6.558
-4.003 2.311 6.558
0.000 -4.623 6.558
ATOMIC_POSITIONS angstrom
Tb 0.000 0.000 0.000
Ce -4.003 0.000 9.837
Ce -2.002 1.156 3.279
Ce 2.002 1.156 3.279
Ce 0.000 0.000 9.837
Sm -2.002 -1.156 6.558
Sm -2.002 1.156 13.116
Sm 0.000 2.311 6.558
S 0.000 -2.336 8.166
S -2.023 1.168 8.166
S -2.023 -1.168 11.508
S 0.000 0.000 4.932
S 0.000 0.000 14.742
S 2.023 1.168 8.166
S 2.023 -1.168 11.508
S 0.000 2.336 11.508
```

***

No. 2
Below is a geometry-optimized Tb3CeSm3S8 structure, with properties calculated at the PBE-GGA level. Values from VASP.

Computed properties:
Raw total energy in eV/atom: -6.495
Fermi-level density of states in states/eV/f.u.: 13.23
Formation energy from raw total energies in eV per atom: -2.028

```
&SYSTEM
  ibrav = 0, nat = 15, ntyp = 4
/
ATOMIC_SPECIES
Tb 158.93 Tb.upf
Ce 140.12 Ce.upf
Sm 150.36 Sm.upf
S 32.06 S.upf
CELL_PARAMETERS angstrom
3.966 2.290 6.486
-3.966 2.290 6.486
0.000 -4.580 6.486
ATOMIC_POSITIONS angstrom
Tb -1.983 -1.145 6.486
Tb -1.983 1.145 12.972
Tb 0.000 2.290 6.486
Ce 0.000 0.000 0.000
Sm -3.966 0.000 9.729
Sm -1.983 1.145 3.243
Sm 1.983 1.145 3.243
S 0.000 0.000 4.911
S 0.000 -2.236 8.096
S -1.936 1.118 8.096
S -1.936 -1.118 11.362
S 1.936 1.118 8.096
S 1.936 -1.118 11.362
S 0.000 2.236 11.362
S 0.000 0.000 14.548
```

***

No. 3
Below is a geometry-optimized Tb4CeSm3S8 structure, with properties calculated at the PBE-GGA level. Values from VASP.

Computed properties:
Raw total energy in eV/atom: -6.500
Fermi-level density of states in states/eV/f.u.: 11.19
Formation energy from raw total energies in eV per atom: -2.023

```
&SYSTEM
  ibrav = 0, nat = 16, ntyp = 4
/
ATOMIC_SPECIES
Tb 158.93 Tb.upf
Ce 140.12 Ce.upf
Sm 150.36 Sm.upf
S 32.06 S.upf
CELL_PARAMETERS angstrom
3.963 2.288 6.502
-3.963 2.288 6.502
0.000 -4.576 6.502
ATOMIC_POSITIONS angstrom
Tb 0.000 0.000 0.000
Tb -1.981 -1.144 6.502
Tb -1.981 1.144 13.004
Tb 0.000 2.288 6.502
Ce 0.000 0.000 9.753
Sm -3.963 0.000 9.753
Sm -1.981 1.144 3.251
Sm 1.981 1.144 3.251
S 0.000 -2.287 8.078
S -1.980 1.143 8.078
S 0.000 0.000 4.928
S -1.980 -1.143 11.429
S 1.980 1.143 8.078
S 0.000 0.000 14.578
S 1.980 -1.143 11.429
S 0.000 2.287 11.429
```

***

No. 4
Below is a geometry-optimized Tb2CeSmS4 structure, with properties calculated at the PBE-GGA level. Values from VASP.

Computed properties:
Raw total energy in eV/atom: -6.582
Fermi-level density of states in states/eV/f.u.: 7.59
Formation energy from raw total energies in eV per atom: -2.030

```
&SYSTEM
  ibrav = 0, nat = 8, ntyp = 4
/
ATOMIC_SPECIES
Tb 158.93 Tb.upf
Ce 140.12 Ce.upf
Sm 150.36 Sm.upf
S 32.06 S.upf
CELL_PARAMETERS angstrom
6.870 0.000 0.000
0.000 3.951 0.000
-2.277 0.000 6.527
ATOMIC_POSITIONS angstrom
Tb 0.000 0.000 0.000
Tb 3.435 1.976 0.000
Ce -1.138 1.976 3.263
Sm 2.296 0.000 3.263
S 1.151 1.976 1.579
S 0.015 0.000 4.952
S 4.578 0.000 1.575
S 3.441 1.976 4.948
```

***

No. 5
Below is a geometry-optimized Tb4CeSmS8 structure, with properties calculated at the PBE-GGA level. Values from VASP.

Computed properties:
Raw total energy in eV/atom: -6.358
Fermi-level density of states in states/eV/f.u.: 12.58
Formation energy from raw total energies in eV per atom: -1.916

```
&SYSTEM
  ibrav = 0, nat = 14, ntyp = 4
/
ATOMIC_SPECIES
Tb 158.93 Tb.upf
Ce 140.12 Ce.upf
Sm 150.36 Sm.upf
S 32.06 S.upf
CELL_PARAMETERS angstrom
4.075 2.353 6.693
-4.075 2.353 6.693
0.000 -4.706 6.693
ATOMIC_POSITIONS angstrom
Tb 0.000 0.000 0.000
Tb -2.039 -1.177 9.212
Tb 2.039 -1.177 9.212
Tb 0.000 2.354 9.212
Ce 0.000 0.000 5.045
Sm 0.000 0.000 12.564
S 0.000 -2.164 10.781
S -1.874 1.082 10.781
S 0.000 0.000 7.775
S -1.941 -1.120 14.314
S 1.874 1.082 10.781
S 0.000 0.000 17.426
S 1.941 -1.120 14.314
S 0.000 2.241 14.314
```

***

No. 6
Below is a geometry-optimized TbCe3Sm2S6 structure, with properties calculated at the PBE-GGA level. Values from VASP.

Computed properties:
Raw total energy in eV/atom: -6.758
Fermi-level density of states in states/eV/f.u.: 16.60
Formation energy from raw total energies in eV per atom: -2.039

```
&SYSTEM
  ibrav = 0, nat = 12, ntyp = 4
/
ATOMIC_SPECIES
Tb 158.93 Tb.upf
Ce 140.12 Ce.upf
Sm 150.36 Sm.upf
S 32.06 S.upf
CELL_PARAMETERS angstrom
3.462 -6.000 0.000
3.462 6.000 0.000
-2.314 0.000 6.562
ATOMIC_POSITIONS angstrom
Tb 0.000 0.000 0.000
Ce 2.305 3.982 3.281
Ce 2.305 0.000 3.281
Ce 2.305 -3.982 3.281
Sm 3.462 1.998 0.000
Sm 3.462 -1.998 0.000
S 1.138 1.975 1.604
S -0.035 0.000 4.947
S 1.138 -1.975 1.604
S 3.472 1.975 4.958
S 4.645 0.000 1.615
S 3.472 -1.975 4.958
```